Run a
The following is a DFT calculation (GGA-PBE) of crystalline BaAlSe2Br at its relaxed geometry.

a b c (Å): 6.2618 6.2618 6.2421
angles (deg): 90.00 90.00 90.00
Closest atoms and distances in Å follow each position.
Atoms (fractional coordinates):
Se: 0.0000 0.5000 0.0000  2 Ba 3.13
Se: 0.5000 0.0000 0.0000  2 Ba 3.13
Ba: 0.0000 0.0000 0.0000  2 Br 3.12, 4 Se 3.13
Br: 0.0000 0.0000 0.5000  2 Ba 3.12
Al: 0.5000 0.5000 0.5000  8 Se 4.42, 4 Br 4.43

SG: P4/mmm

=====

Run b
The following is a DFT calculation (GGA-PBE) of crystalline BaAlSe2Br at its relaxed geometry.

a b c (Å): 5.0832 5.0832 5.2585
angles (deg): 90.00 90.00 90.00
Closest atoms and distances in Å follow each position.
Atoms (fractional coordinates):
Se: 0.0000 0.5000 0.0000  2 Al 2.54
Se: 0.5000 0.0000 0.0000  2 Al 2.54
Ba: 0.5000 0.5000 0.5000  4 Br 3.59, 8 Se 3.66
Br: 0.0000 0.0000 0.5000  2 Al 2.63
Al: 0.0000 0.0000 0.0000  4 Se 2.54, 2 Br 2.63

SG: P4/mmm

=====

Which one sits at the top of the stability order? run b does.

=====

Run a
The following is a DFT calculation (GGA-PBE) of crystalline BaNaAlC2 at its relaxed geometry.

a b c (Å): 4.7133 4.8311 4.7133
angles (deg): 90.00 90.00 90.00
Closest atoms and distances in Å follow each position.
Atoms (fractional coordinates):
Na: 0.0000 0.0000 0.0000  4 C 2.36, 2 Al 2.42
C: 0.0000 0.0000 0.5000  2 Na 2.36
C: 0.5000 0.0000 0.0000  2 Na 2.36
Ba: 0.5000 0.5000 0.5000  4 Al 3.33, 8 C 3.37
Al: 0.0000 0.5000 0.0000  2 Na 2.42

SG: P4/mmm

=====

Run b
The following is a DFT calculation (GGA-PBE) of crystalline BaNaAlC2 at its relaxed geometry.

a b c (Å): 5.0375 5.0375 6.0384
angles (deg): 90.00 90.00 90.00
Closest atoms and distances in Å follow each position.
Atoms (fractional coordinates):
Na: 0.5000 0.5000 0.5000  4 Al 3.56, 8 C 3.93
C: 0.0000 0.5000 0.0000  2 Ba 2.52
C: 0.5000 0.0000 0.0000  2 Ba 2.52
Ba: 0.0000 0.0000 0.0000  4 C 2.52
Al: 0.0000 0.0000 0.5000  2 Ba 3.02

SG: P4/mmm

=====

Which one sits at the top of the stability order? run a does.

=====

Run a
The following is a DFT calculation (GGA-PBE) of crystalline BaCaAl4 at its relaxed geometry.

a b c (Å): 4.5008 6.6253 6.6253
angles (deg): 72.88 70.14 70.14
Closest atoms and distances in Å follow each position.
Atoms (fractional coordinates):
Ba: 0.0000 0.0000 0.0000  12 Al 3.54-3.59
Ca: 0.5000 0.5000 0.5000  12 Al 3.52-3.61
Al: 0.2447 0.4212 0.0894  3 Al 2.61
Al: 0.2447 0.0894 0.4212  3 Al 2.61
Al: 0.7553 0.5788 0.9106  3 Al 2.61
Al: 0.7553 0.9106 0.5788  3 Al 2.61

SG: Immm

=====

Run b
The following is a DFT calculation (GGA-PBE) of crystalline BaCaAl4 at its relaxed geometry.

a b c (Å): 5.8831 5.8831 9.5393
angles (deg): 90.00 90.00 120.00
Closest atoms and distances in Å follow each position.
Atoms (fractional coordinates):
Ba: 0.6667 0.3333 0.9354  12 Al 3.45-3.56, 1 Ca 3.52, 3 Ba 3.61
Ba: 0.3333 0.6667 0.0646  12 Al 3.45-3.56, 1 Ca 3.52, 3 Ba 3.61
Ca: 0.3333 0.6667 0.4336  12 Al 3.33-3.46, 1 Ba 3.52, 3 Ca 3.63
Ca: 0.6667 0.3333 0.5664  12 Al 3.33-3.46, 1 Ba 3.52, 3 Ca 3.63
Al: 0.0000 0.0000 0.5000  6 Al 2.83
Al: 0.0000 0.0000 0.0000  6 Al 3.06
Al: 0.8303 0.1697 0.2648  6 Al 2.83-3.06
Al: 0.8303 0.6607 0.2648  6 Al 2.83-3.06
Al: 0.3393 0.1697 0.2648  6 Al 2.83-3.06
Al: 0.1697 0.8303 0.7352  6 Al 2.83-3.06
Al: 0.1697 0.3393 0.7352  6 Al 2.83-3.06
Al: 0.6607 0.8303 0.7352  6 Al 2.83-3.06

SG: P-3m1

=====

Run c
The following is a DFT calculation (GGA-PBE) of crystalline BaCaAl4 at its relaxed geometry.

a b c (Å): 5.8612 5.8612 5.8612
angles (deg): 60.00 60.00 60.00
Closest atoms and distances in Å follow each position.
Atoms (fractional coordinates):
Al: 0.1245 0.6252 0.6252  6 Al 2.93
Al: 0.6252 0.6252 0.6252  6 Al 2.93
Al: 0.6252 0.1245 0.6252  6 Al 2.93
Al: 0.6252 0.6252 0.1245  6 Al 2.93
Ba: 0.2500 0.2500 0.2500  12 Al 3.44, 4 Ca 3.59
Ca: 0.0000 0.0000 0.0000  12 Al 3.44, 4 Ba 3.59

SG: F-43m

=====

Which one sits at the top of the stability order? run b does.

=====

Run a
The following is a DFT calculation (GGA-PBE) of crystalline Ba3CaAl8 at its relaxed geometry.

a b c (Å): 5.9558 5.9558 10.3161
angles (deg): 73.22 73.22 60.00
Closest atoms and distances in Å follow each position.
Atoms (fractional coordinates):
Ba: 0.3756 0.3756 0.8731  12 Al 3.49-3.56, 4 Ba 3.62-3.66
Ba: 0.9997 0.9997 0.0009  12 Al 3.50-3.56, 1 Ca 3.65, 3 Ba 3.66
Ba: 0.4998 0.4998 0.5006  12 Al 3.44-3.49, 1 Ba 3.62, 3 Ca 3.64
Ca: 0.8744 0.8744 0.3767  12 Al 3.42-3.49, 4 Ba 3.64-3.65
Al: 0.9350 0.4357 0.1937  6 Al 2.95-3.05
Al: 0.4412 0.9388 0.6811  6 Al 2.91-3.00
Al: 0.4357 0.4357 0.1937  6 Al 2.95-3.05
Al: 0.9388 0.9388 0.6811  6 Al 2.91-3.00
Al: 0.1865 0.1865 0.4404  6 Al 2.91-2.95
Al: 0.6887 0.6887 0.9340  6 Al 3.00-3.05
Al: 0.4357 0.9350 0.1937  6 Al 2.95-3.05
Al: 0.9388 0.4412 0.6811  6 Al 2.91-3.00

SG: R3m

=====

Run b
The following is a DFT calculation (GGA-PBE) of crystalline Ba3CaAl8 at its relaxed geometry.

a b c (Å): 6.0131 6.0131 9.6478
angles (deg): 90.00 90.00 120.00
Closest atoms and distances in Å follow each position.
Atoms (fractional coordinates):
Ba: 0.6667 0.3333 0.4347  12 Al 3.45-3.53, 1 Ba 3.54, 3 Ca 3.71
Ba: 0.6667 0.3333 0.0676  12 Al 3.53-3.57, 4 Ba 3.54-3.70
Ba: 0.0000 0.0000 0.9346  12 Al 3.51-3.56, 1 Ca 3.53, 3 Ba 3.70
Ca: 0.0000 0.0000 0.5690  12 Al 3.44-3.54, 4 Ba 3.53-3.71
Al: 0.3333 0.6667 0.4980  6 Al 2.91-2.94
Al: 0.3333 0.6667 0.9862  6 Al 2.91-3.17
Al: 0.4995 0.9991 0.7441  6 Al 2.91-3.01
Al: 0.4995 0.5005 0.7441  6 Al 2.91-3.01
Al: 0.0009 0.5005 0.7441  6 Al 2.91-3.01
Al: 0.1633 0.3267 0.2592  6 Al 2.91-3.17
Al: 0.1633 0.8367 0.2592  6 Al 2.91-3.17
Al: 0.6733 0.8367 0.2592  6 Al 2.91-3.17

SG: P3m1

=====

Which one sits at the top of the stability order? run a does.

=====

Run a
The following is a DFT calculation (GGA-PBE) of crystalline BaCaAl3 at its relaxed geometry.

a b c (Å): 5.7843 5.7843 5.7843
angles (deg): 90.00 90.00 90.00
Closest atoms and distances in Å follow each position.
Atoms (fractional coordinates):
Ca: 0.5000 0.5000 0.5000  12 Al 4.09
Ba: 0.0000 0.0000 0.0000  6 Al 2.89
Al: 0.0000 0.5000 0.0000  2 Ba 2.89
Al: 0.0000 0.0000 0.5000  2 Ba 2.89
Al: 0.5000 0.0000 0.0000  2 Ba 2.89

SG: Pm-3m

=====

Run b
The following is a DFT calculation (GGA-PBE) of crystalline BaCaAl3 at its relaxed geometry.

a b c (Å): 5.6090 5.6090 5.6090
angles (deg): 90.00 90.00 90.00
Closest atoms and distances in Å follow each position.
Atoms (fractional coordinates):
Ca: 0.0000 0.0000 0.0000  6 Al 2.80
Ba: 0.5000 0.5000 0.5000  12 Al 3.97
Al: 0.0000 0.5000 0.0000  2 Ca 2.80
Al: 0.0000 0.0000 0.5000  2 Ca 2.80
Al: 0.5000 0.0000 0.0000  2 Ca 2.80

SG: Pm-3m

=====

Which one sits at the top of the stability order? run b does.

=====

Run a
The following is a DFT calculation (GGA-PBE) of crystalline BaAl2CdRu at its relaxed geometry.

a b c (Å): 4.9740 6.1848 4.9740
angles (deg): 90.00 90.00 90.00
Closest atoms and distances in Å follow each position.
Atoms (fractional coordinates):
Ru: 0.5000 0.5000 0.5000  4 Ba 3.52
Al: 0.0000 0.0000 0.5000  2 Cd 2.49
Al: 0.5000 0.0000 0.0000  2 Cd 2.49
Ba: 0.0000 0.5000 0.0000  2 Cd 3.09
Cd: 0.0000 0.0000 0.0000  4 Al 2.49

SG: P4/mmm

=====

Run b
The following is a DFT calculation (GGA-PBE) of crystalline BaAl2CdRu at its relaxed geometry.

a b c (Å): 4.8402 4.8402 5.3183
angles (deg): 90.00 90.00 90.00
Closest atoms and distances in Å follow each position.
Atoms (fractional coordinates):
Ru: 0.0000 0.0000 0.0000  4 Al 2.42, 2 Cd 2.66
Al: 0.0000 0.5000 0.0000  2 Ru 2.42
Al: 0.5000 0.0000 0.0000  2 Ru 2.42
Ba: 0.5000 0.5000 0.5000  4 Cd 3.42, 8 Al 3.60
Cd: 0.0000 0.0000 0.5000  2 Ru 2.66

SG: P4/mmm

=====

Which one sits at the top of the stability order? run b does.

=====

Run a
The following is a DFT calculation (GGA-PBE) of crystalline BaAl2Cl at its relaxed geometry.

a b c (Å): 4.0862 4.0862 7.1452
angles (deg): 90.00 90.00 90.00
Closest atoms and distances in Å follow each position.
Atoms (fractional coordinates):
Al: 0.0000 0.0000 0.9277  1 Al 2.54
Al: 0.0000 0.0000 0.5723  1 Al 2.54
Ba: 0.5000 0.5000 0.2500  2 Cl 3.57, 8 Al 3.69
Cl: 0.5000 0.5000 0.7500  8 Al 3.16

SG: P4/mmm

=====

Run b
The following is a DFT calculation (GGA-PBE) of crystalline BaAl2Cl at its relaxed geometry.

a b c (Å): 7.6196 7.6196 4.3179
angles (deg): 73.85 73.85 134.55
Closest atoms and distances in Å follow each position.
Atoms (fractional coordinates):
Al: 0.0000 0.0000 0.0000  4 Al 2.94-3.00
Al: 0.5000 0.5000 0.0000  4 Al 2.94-3.00
Ba: 0.5000 0.0000 0.5000  4 Cl 2.94-3.00
Cl: 0.0000 0.5000 0.5000  4 Ba 2.94-3.00

SG: C2/m

=====

Run c
The following is a DFT calculation (GGA-PBE) of crystalline BaAl2Cl at its relaxed geometry.

a b c (Å): 3.5511 3.5511 9.6675
angles (deg): 90.00 90.00 114.19
Closest atoms and distances in Å follow each position.
Atoms (fractional coordinates):
Al: 0.0000 0.0000 0.9640  2 Cl 2.83
Al: 0.0000 0.0000 0.5360  2 Cl 2.83
Ba: 0.5000 0.5000 0.2500  4 Al 3.37, 4 Ba 3.55
Cl: 0.5000 0.5000 0.7500  4 Al 2.83

SG: Cmmm

=====

Which one sits at the top of the stability order? run b does.

=====

Run a
The following is a DFT calculation (GGA-PBE) of crystalline BaAl2Cl at its relaxed geometry.

a b c (Å): 5.5109 5.5109 5.5109
angles (deg): 60.00 60.00 60.00
Closest atoms and distances in Å follow each position.
Atoms (fractional coordinates):
Al: 0.2500 0.2500 0.2500  4 Ba 3.37, 4 Cl 3.37
Al: 0.7500 0.7500 0.7500  4 Ba 3.37, 4 Cl 3.37
Ba: 0.5000 0.5000 0.5000  8 Al 3.37
Cl: 0.0000 0.0000 0.0000  8 Al 3.37

SG: Fm-3m

=====

Run b
The following is a DFT calculation (GGA-PBE) of crystalline BaAl2Cl at its relaxed geometry.

a b c (Å): 5.3167 5.3167 5.3167
angles (deg): 120.03 120.03 89.94
Closest atoms and distances in Å follow each position.
Atoms (fractional coordinates):
Al: 0.0000 0.0000 0.0000  4 Cl 3.26, 4 Al 3.26
Al: 0.2500 0.7500 0.5000  4 Al 3.26, 4 Ba 3.26
Ba: 0.5000 0.5000 0.0000  4 Cl 3.26, 4 Al 3.26
Cl: 0.7500 0.2500 0.5000  4 Ba 3.26, 4 Al 3.26

SG: F-43m

=====

Run c
The following is a DFT calculation (GGA-PBE) of crystalline BaAl2Cl at its relaxed geometry.

a b c (Å): 3.8489 3.8497 9.2163
angles (deg): 90.00 90.00 90.00
Closest atoms and distances in Å follow each position.
Atoms (fractional coordinates):
Al: 0.0000 0.0000 0.1310  4 Al 2.80
Al: 0.5000 0.5000 0.2023  4 Al 2.80
Ba: 0.0000 0.0000 0.5030  4 Cl 3.10, 1 Al 3.43
Cl: 0.5000 0.5000 0.6637  4 Ba 3.10

SG: P4mm

=====

Which one sits at the top of the stability order? run c does.

=====

Run a
The following is a DFT calculation (GGA-PBE) of crystalline BaAl2Cl at its relaxed geometry.

a b c (Å): 6.5356 6.5356 3.7455
angles (deg): 90.00 90.00 127.55
Closest atoms and distances in Å follow each position.
Atoms (fractional coordinates):
Al: 0.0000 0.0000 0.0000  2 Al 2.89
Al: 0.5000 0.5000 0.0000  2 Al 2.89
Ba: 0.5000 0.0000 0.5000  2 Cl 2.89
Cl: 0.0000 0.5000 0.5000  2 Ba 2.89

SG: Cmmm

=====

Run b
The following is a DFT calculation (GGA-PBE) of crystalline BaAl2Cl at its relaxed geometry.

a b c (Å): 3.8163 4.5513 6.9280
angles (deg): 90.00 90.00 90.00
Closest atoms and distances in Å follow each position.
Atoms (fractional coordinates):
Al: 0.0000 0.0000 0.0000  4 Al 2.97
Al: 0.5000 0.5000 0.0000  4 Al 2.97
Ba: 0.5000 0.0000 0.5000  4 Cl 2.97
Cl: 0.0000 0.5000 0.5000  4 Ba 2.97

SG: Pmmm

=====

Which one sits at the top of the stability order? run b does.

=====

Run a
The following is a DFT calculation (GGA-PBE) of crystalline BaAl2Cl at its relaxed geometry.

a b c (Å): 10.0550 10.0550 10.0550
angles (deg): 20.39 20.39 20.39
Closest atoms and distances in Å follow each position.
Atoms (fractional coordinates):
Al: 0.0126 0.0126 0.0126  3 Cl 2.93
Al: 0.4874 0.4874 0.4874  3 Cl 2.93
Ba: 0.2500 0.2500 0.2500  6 Al 3.50, 6 Ba 3.56
Cl: 0.7500 0.7500 0.7500  6 Al 2.93

SG: R-3m

=====

Run b
The following is a DFT calculation (GGA-PBE) of crystalline BaAl2Cl at its relaxed geometry.

a b c (Å): 4.6038 4.6038 8.7004
angles (deg): 75.10 75.10 59.99
Closest atoms and distances in Å follow each position.
Atoms (fractional coordinates):
Al: 0.9401 0.9401 0.1745  3 Al 2.66
Al: 0.2725 0.2725 0.1773  3 Al 2.66
Ba: 0.5073 0.5073 0.4810  3 Cl 3.07-3.08
Cl: 0.7802 0.7802 0.6671  3 Ba 3.07-3.08

SG: Cm

=====

Run c
The following is a DFT calculation (GGA-PBE) of crystalline BaAl2Cl at its relaxed geometry.

a b c (Å): 3.8900 4.0187 8.7605
angles (deg): 77.17 90.00 90.00
Closest atoms and distances in Å follow each position.
Atoms (fractional coordinates):
Al: 0.0000 0.9793 0.1590  4 Al 2.80
Al: 0.5000 0.4803 0.1567  4 Al 2.80
Ba: 0.0000 0.3073 0.5152  4 Cl 3.09
Cl: 0.5000 0.7331 0.6691  4 Ba 3.09

SG: Pm

=====

Which one sits at the top of the stability order? run b does.

=====

Run a
The following is a DFT calculation (GGA-PBE) of crystalline BaAl2Cl at its relaxed geometry.

a b c (Å): 7.3138 7.3138 4.5780
angles (deg): 83.66 83.66 30.19
Closest atoms and distances in Å follow each position.
Atoms (fractional coordinates):
Al: 0.9948 0.9948 0.0211  4 Al 2.85-3.12
Al: 0.5052 0.5052 0.4789  4 Al 2.85-3.12
Ba: 0.2500 0.2500 0.2500  4 Cl 2.98
Cl: 0.7500 0.7500 0.7500  4 Ba 2.98

SG: C2/m

=====

Run b
The following is a DFT calculation (GGA-PBE) of crystalline BaAl2Cl at its relaxed geometry.

a b c (Å): 4.2092 4.2092 14.3803
angles (deg): 81.58 81.58 90.00
Closest atoms and distances in Å follow each position.
Atoms (fractional coordinates):
Al: 0.6386 0.1250 0.2500  4 Al 2.90-3.06
Al: 0.1114 0.6250 0.2500  4 Al 2.90-3.06
Al: 0.3750 0.3614 0.7500  4 Al 2.90-3.06
Al: 0.8750 0.8886 0.7500  4 Al 2.90-3.06
Ba: 0.0000 0.0000 0.0000  4 Cl 2.98
Ba: 0.7500 0.2500 0.5000  4 Cl 2.98
Cl: 0.5000 0.5000 0.0000  4 Ba 2.98
Cl: 0.2500 0.7500 0.5000  4 Ba 2.98

SG: I-42d

=====

Which one sits at the top of the stability order? run a does.